1.
Here is a relaxed Ca5Pb4 crystal from the Alexandria database. Energies are from GGA-PBEsol.

The value obtained for the formation energy is -0.550 eV per atom. As for the density of states at the Fermi level: 2.71 states/eV/f.u.

The structure belongs to space group P6_3/mcm (No. 193); the cell edges are 9.3955, 9.3955 and 6.9339 Å and the angles 90.00°, 90.00° and 120.00°. The inequivalent atoms are Ca at (0.0000, 0.2918, 0.2500), Ca at (0.3333, 0.6667, 0.0000), Pb at (0.0000, 0.0000, 0.0000) and Pb at (0.0000, 0.3708, 0.7500).

=====

2.
Here is a relaxed CaPb crystal from the Alexandria database. Energies are from GGA-PBEsol.

The value obtained for the formation energy is -0.517 eV per atom. As for the density of states at the Fermi level: 0.77 states/eV/f.u.

The structure belongs to space group C2/m (No. 12); the cell edges are 12.395, 3.617 and 5.521 Å and the angles 90.00°, 104.32° and 90.00°. The inequivalent atoms are Ca at (0.129, 0.000, 0.243) and Pb at (0.106, 0.500, 0.727).

=====

3.
Here is a relaxed CaPb3 crystal from the Alexandria database. Energies are from GGA-PBEsol.

The value obtained for the formation energy is -0.129 eV per atom. As for the density of states at the Fermi level: 2.48 states/eV/f.u.

The structure belongs to space group P-6m2 (No. 187); the cell edges are 3.6143, 3.6143 and 10.6193 Å and the angles 90.00°, 90.00° and 120.00°. The inequivalent atoms are Ca at (0.0000, 0.0000, 0.0000), Pb at (0.0000, 0.0000, 0.5000) and Pb at (0.3333, 0.6667, 0.2470).

=====

4.
Here is a relaxed CaPb3 crystal from the Alexandria database. Energies are from GGA-PBEsol.

The value obtained for the formation energy is -0.266 eV per atom. As for the density of states at the Fermi level: 2.30 states/eV/f.u.

The structure belongs to space group Imm2 (No. 44); the cell edges are 3.751, 11.099 and 5.578 Å and the angles 90.00°, 90.00° and 90.00°. The inequivalent atoms are Ca at (0.000, 0.000, 0.000), Pb at (0.000, 0.245, 0.373) and Pb at (0.000, 0.500, 0.001).

=====

5.
Here is a relaxed CaPb3 crystal from the Alexandria database. Energies are from GGA-PBEsol.

The value obtained for the formation energy is -0.364 eV per atom. As for the density of states at the Fermi level: 1.22 states/eV/f.u.

The structure belongs to space group Pm-3m (No. 221); the cell edges are 4.844, 4.844 and 4.844 Å and the angles 90.00°, 90.00° and 90.00°. The inequivalent atoms are Ca at (0.000, 0.000, 0.000) and Pb at (0.000, 0.500, 0.500).

=====

6.
Here is a relaxed CaPb crystal from the Alexandria database. Energies are from GGA-PBEsol.

The value obtained for the formation energy is -0.572 eV per atom. As for the density of states at the Fermi level: 0.58 states/eV/f.u.

The structure belongs to space group P4/mmm (No. 123); the cell edges are 3.531, 3.531 and 4.557 Å and the angles 90.00°, 90.00° and 90.00°. The inequivalent atoms are Ca at (0.000, 0.000, 0.000) and Pb at (0.500, 0.500, 0.500).

=====

7.
Here is a relaxed Ca5Pb3 crystal from the Alexandria database. Energies are from GGA-PBEsol.

The value obtained for the formation energy is -0.570 eV per atom. As for the density of states at the Fermi level: 3.54 states/eV/f.u. The distance to the lowest polymorph of the same formula comes out at 0.000 eV per atom.

The structure belongs to space group P6_3mc (No. 186); the cell edges are 16.1448, 16.1448 and 6.7831 Å and the angles 90.00°, 90.00° and 120.00°. The inequivalent atoms are Ca at (0.0092, 0.3415, 0.0000), Ca at (0.0896, 0.1792, 0.2102), Ca at (0.1512, 0.5756, 0.2780), Ca at (0.2459, 0.4917, 0.7490), Pb at (0.0813, 0.5407, 0.7653), Pb at (0.1302, 0.2605, 0.6900) and Pb at (0.2023, 0.4047, 0.2879).

=====

8.
Here is a relaxed CaPb5 crystal from the Alexandria database. Energies are from GGA-PBEsol.

The value obtained for the formation energy is -0.197 eV per atom. As for the density of states at the Fermi level: 2.77 states/eV/f.u. The distance to the lowest polymorph of the same formula comes out at 0.000 eV per atom.

The structure belongs to space group Cmmm (No. 65); the cell edges are 4.903, 14.943 and 4.816 Å and the angles 90.00°, 90.00° and 90.00°. The inequivalent atoms are Ca at (0.000, 0.000, 0.000), Pb at (0.000, 0.166, 0.500), Pb at (0.000, 0.333, 0.000) and Pb at (0.000, 0.500, 0.500).

=====

9.
Here is a relaxed CaPb3 crystal from the Alexandria database. Energies are from GGA-PBEsol.

The value obtained for the formation energy is -0.291 eV per atom. As for the density of states at the Fermi level: 2.20 states/eV/f.u.

The structure belongs to space group Cmmm (No. 65); the cell edges are 6.900, 9.199 and 3.656 Å and the angles 90.00°, 90.00° and 90.00°. The inequivalent atoms are Ca at (0.000, 0.000, 0.000), Pb at (0.000, 0.500, 0.000) and Pb at (0.250, 0.250, 0.500).

=====

10.
Here is a relaxed CaPb crystal from the Alexandria database. Energies are from GGA-PBEsol.

The value obtained for the formation energy is -0.463 eV per atom. As for the density of states at the Fermi level: 1.36 states/eV/f.u.

The structure belongs to space group Imma (No. 74); the cell edges are 3.822, 5.219 and 11.889 Å and the angles 90.00°, 90.00° and 90.00°. The inequivalent atoms are Ca at (0.000, 0.250, 0.115) and Pb at (0.000, 0.250, 0.637).

=====

11.
Here is a relaxed CaPb crystal from the Alexandria database. Energies are from GGA-PBEsol.

The value obtained for the formation energy is -0.506 eV per atom. As for the density of states at the Fermi level: 1.23 states/eV/f.u.

The structure belongs to space group Pbcm (No. 57); the cell edges are 10.709, 9.790 and 6.809 Å and the angles 90.00°, 90.00° and 90.00°. The inequivalent atoms are Ca at (0.117, 0.250, 0.000), Ca at (0.180, 0.635, 0.250), Ca at (0.377, 0.031, 0.250), Pb at (0.080, 0.545, 0.750), Pb at (0.357, 0.122, 0.750) and Pb at (0.429, 0.750, 0.000).

=====

12.
Here is a relaxed CaPb3 crystal from the Alexandria database. Energies are from GGA-PBEsol.

The value obtained for the formation energy is -0.258 eV per atom. As for the density of states at the Fermi level: 2.02 states/eV/f.u.

The structure belongs to space group Pmmm (No. 47); the cell edges are 3.682, 4.691 and 6.748 Å and the angles 90.00°, 90.00° and 90.00°. The inequivalent atoms are Ca at (0.000, 0.000, 0.000), Pb at (0.000, 0.000, 0.500) and Pb at (0.500, 0.500, 0.249).